A relaxed structure of ZnCd2Rh, computed with GGA-PBEsol.

## Properties
The calculation puts the density of states at the Fermi level at 0.489 states/eV per atom. For the formation energy from the elements, the calculation gives 0.07 eV/atom. Its total energy is -11.83 eV/cell. Its space group is No. 166. The magnetization is 0.0 μB/f.u.

Cell: 9.280 9.280 9.280 Å, 18.06 18.06 18.06°
Atoms (fractional coordinates):
Zn: 0.000 0.000 0.000
Cd: 0.247 0.247 0.247
Cd: 0.753 0.753 0.753
Rh: 0.500 0.500 0.500